Arrangement 1

A plane-wave DFT calculation with GGA-PBE was carried out for an optimized crystal structure of Pr8Nd6Ho.

Summary:
Crystal system: trigonal
Volume in Å³/atom: 35.9
Size of the total moment in μB per cell: 0.0

Unit cell a=8.9115 b=8.9115 c=8.9115 alpha=63.40 beta=63.40 gamma=63.40
Closest atoms and distances in Å follow each position.
Positions (direct):
Pr: 0.0780 0.0780 0.0780  4 Pr 3.32-3.53, 3 Nd 3.47
Pr: 0.2153 0.6134 0.2524  3 Nd 3.50-3.87, 5 Pr 3.53-3.57, 1 Ho 3.61
Pr: 0.2524 0.2153 0.6134  3 Nd 3.50-3.87, 5 Pr 3.53-3.57, 1 Ho 3.61
Pr: 0.3866 0.7476 0.7847  3 Nd 3.50-3.87, 5 Pr 3.53-3.57, 1 Ho 3.61
Pr: 0.6134 0.2524 0.2153  3 Nd 3.50-3.87, 5 Pr 3.53-3.57, 1 Ho 3.61
Pr: 0.7476 0.7847 0.3866  3 Nd 3.50-3.87, 5 Pr 3.53-3.57, 1 Ho 3.61
Pr: 0.7847 0.3866 0.7476  3 Nd 3.50-3.87, 5 Pr 3.53-3.57, 1 Ho 3.61
Pr: 0.9220 0.9220 0.9220  4 Pr 3.32-3.53, 3 Nd 3.47
Nd: 0.0399 0.5969 0.7415  4 Pr 3.47-3.87, 1 Ho 3.57, 4 Nd 3.66-3.87
Nd: 0.2585 0.9601 0.4031  4 Pr 3.47-3.87, 1 Ho 3.57, 4 Nd 3.66-3.87
Nd: 0.4031 0.2585 0.9601  4 Pr 3.47-3.87, 1 Ho 3.57, 4 Nd 3.66-3.87
Nd: 0.5969 0.7415 0.0399  4 Pr 3.47-3.87, 1 Ho 3.57, 4 Nd 3.66-3.87
Nd: 0.7415 0.0399 0.5969  4 Pr 3.47-3.87, 1 Ho 3.57, 4 Nd 3.66-3.87
Nd: 0.9601 0.4031 0.2585  4 Pr 3.47-3.87, 1 Ho 3.57, 4 Nd 3.66-3.87
Ho: 0.5000 0.5000 0.5000  6 Nd 3.57, 6 Pr 3.61



Arrangement 2

A plane-wave DFT calculation with GGA-PBE was carried out for an optimized crystal structure of Pr8Nd6Ho.

Summary:
Crystal system: trigonal
Volume in Å³/atom: 36.1
Size of the total moment in μB per cell: 0.0

Unit cell a=9.6140 b=9.6140 c=6.7657 alpha=90.00 beta=90.00 gamma=120.00
Closest atoms and distances in Å follow each position.
Positions (direct):
Pr: 0.0306 0.2824 0.1651  4 Nd 3.35-3.66, 3 Pr 3.39-3.41, 1 Ho 3.43
Pr: 0.2518 0.9694 0.1651  4 Nd 3.35-3.66, 3 Pr 3.39-3.41, 1 Ho 3.43
Pr: 0.2824 0.2518 0.8349  4 Nd 3.35-3.66, 3 Pr 3.39-3.41, 1 Ho 3.43
Pr: 0.3333 0.6667 0.1127  3 Pr 3.39
Pr: 0.6667 0.3333 0.8873  3 Pr 3.39
Pr: 0.7176 0.7482 0.1651  4 Nd 3.35-3.66, 3 Pr 3.39-3.41, 1 Ho 3.43
Pr: 0.7482 0.0306 0.8349  4 Nd 3.35-3.66, 3 Pr 3.39-3.41, 1 Ho 3.43
Pr: 0.9694 0.7176 0.8349  4 Nd 3.35-3.66, 3 Pr 3.39-3.41, 1 Ho 3.43
Nd: 0.0860 0.4314 0.6577  1 Nd 3.35, 4 Pr 3.35-3.66
Nd: 0.3454 0.9140 0.6577  1 Nd 3.35, 4 Pr 3.35-3.66
Nd: 0.4314 0.3454 0.3423  1 Nd 3.35, 4 Pr 3.35-3.66
Nd: 0.5686 0.6546 0.6577  1 Nd 3.35, 4 Pr 3.35-3.66
Nd: 0.6546 0.0860 0.3423  1 Nd 3.35, 4 Pr 3.35-3.66
Nd: 0.9140 0.5686 0.3423  1 Nd 3.35, 4 Pr 3.35-3.66
Ho: 0.0000 0.0000 0.5000  6 Pr 3.43



Most stable structure: arrangement 1



Arrangement 1

A plane-wave DFT calculation with GGA-PBE was carried out for an optimized crystal structure of Pr4Nd5Ho.

Summary:
Crystal system: tetragonal
Volume in Å³/atom: 35.1
Size of the total moment in μB per cell: 0.0

Unit cell a=10.8993 b=10.8993 c=5.9153 alpha=90.00 beta=90.00 gamma=90.00
Closest atoms and distances in Å follow each position.
Positions (direct):
Pr: 0.0447 0.7500 0.1309  1 Nd 3.13, 1 Ho 3.21
Pr: 0.2500 0.5447 0.8691  1 Nd 3.13, 1 Ho 3.21
Pr: 0.2500 0.9553 0.8691  1 Nd 3.13, 1 Ho 3.21
Pr: 0.4553 0.7500 0.1309  1 Nd 3.13, 1 Ho 3.21
Pr: 0.5447 0.2500 0.8691  1 Nd 3.13, 1 Ho 3.21
Pr: 0.7500 0.0447 0.1309  1 Nd 3.13, 1 Ho 3.21
Pr: 0.7500 0.4553 0.1309  1 Nd 3.13, 1 Ho 3.21
Pr: 0.9553 0.2500 0.8691  1 Nd 3.13, 1 Ho 3.21
Nd: 0.0891 0.0891 0.3374  3 Nd 3.35-3.51, 2 Pr 3.59
Nd: 0.0891 0.4109 0.3374  3 Nd 3.35-3.51, 2 Pr 3.59
Nd: 0.2500 0.7500 0.5000  4 Pr 3.13
Nd: 0.4109 0.0891 0.3374  3 Nd 3.35-3.51, 2 Pr 3.59
Nd: 0.4109 0.4109 0.3374  3 Nd 3.35-3.51, 2 Pr 3.59
Nd: 0.5891 0.5891 0.6626  3 Nd 3.35-3.51, 2 Pr 3.59
Nd: 0.5891 0.9109 0.6626  3 Nd 3.35-3.51, 2 Pr 3.59
Nd: 0.7500 0.2500 0.5000  4 Pr 3.13
Nd: 0.9109 0.5891 0.6626  3 Nd 3.35-3.51, 2 Pr 3.59
Nd: 0.9109 0.9109 0.6626  3 Nd 3.35-3.51, 2 Pr 3.59
Ho: 0.2500 0.2500 0.8571  4 Pr 3.21
Ho: 0.7500 0.7500 0.1429  4 Pr 3.21



Arrangement 2

A plane-wave DFT calculation with GGA-PBE was carried out for an optimized crystal structure of Pr4Nd5Ho.

Summary:
Crystal system: monoclinic
Volume in Å³/atom: 36.2
Size of the total moment in μB per cell: 0.0

Unit cell a=6.6434 b=6.6434 c=10.6246 alpha=90.30 beta=90.30 gamma=50.62
Closest atoms and distances in Å follow each position.
Positions (direct):
Pr: 0.0474 0.0474 0.2539  1 Pr 3.35, 2 Nd 3.52-3.53
Pr: 0.3265 0.3265 0.2503  1 Pr 3.35, 1 Ho 3.36, 7 Nd 3.39-3.70
Pr: 0.6735 0.6735 0.7497  1 Pr 3.35, 1 Ho 3.36, 7 Nd 3.39-3.70
Pr: 0.9526 0.9526 0.7461  1 Pr 3.35, 2 Nd 3.52-3.53
Nd: 0.1947 0.1947 0.9364  5 Nd 3.41-3.74, 5 Pr 3.47-3.82
Nd: 0.1974 0.1974 0.5656  2 Nd 3.41, 5 Pr 3.46-3.76, 3 Ho 3.70-3.76
Nd: 0.5000 0.5000 0.0000  2 Pr 3.39, 6 Nd 3.72-3.74
Nd: 0.8026 0.8026 0.4344  2 Nd 3.41, 5 Pr 3.46-3.76, 3 Ho 3.70-3.76
Nd: 0.8053 0.8053 0.0636  5 Nd 3.41-3.74, 5 Pr 3.47-3.82
Ho: 0.5000 0.5000 0.5000  2 Pr 3.36, 6 Nd 3.70-3.76



Most stable structure: arrangement 2



Arrangement 1

A plane-wave DFT calculation with GGA-PBE was carried out for an optimized crystal structure of PrNd6Ho12.

Summary:
Crystal system: trigonal
Volume in Å³/atom: 33.9
Size of the total moment in μB per cell: 0.0

Unit cell a=8.7498 b=8.7498 c=8.7498 alpha=98.68 beta=98.68 gamma=98.68
Closest atoms and distances in Å follow each position.
Positions (direct):
Pr: 0.0000 0.0000 0.0000  6 Nd 3.47
Nd: 0.0994 0.0994 0.6541  1 Nd 3.09
Nd: 0.0994 0.6541 0.0994  1 Nd 3.09
Nd: 0.3459 0.9006 0.9006  1 Nd 3.09
Nd: 0.6541 0.0994 0.0994  1 Nd 3.09
Nd: 0.9006 0.3459 0.9006  1 Nd 3.09
Nd: 0.9006 0.9006 0.3459  1 Nd 3.09
Ho: 0.0811 0.3559 0.3559  6 Ho 3.35-3.65, 2 Nd 3.69
Ho: 0.2436 0.5000 0.7564  6 Ho 3.35-3.54, 4 Nd 3.47-3.58
Ho: 0.2436 0.7564 0.5000  6 Ho 3.35-3.54, 4 Nd 3.47-3.58
Ho: 0.3559 0.0811 0.3559  6 Ho 3.35-3.65, 2 Nd 3.69
Ho: 0.3559 0.3559 0.0811  6 Ho 3.35-3.65, 2 Nd 3.69
Ho: 0.5000 0.2436 0.7564  6 Ho 3.35-3.54, 4 Nd 3.47-3.58
Ho: 0.5000 0.7564 0.2436  6 Ho 3.35-3.54, 4 Nd 3.47-3.58
Ho: 0.6441 0.6441 0.9189  6 Ho 3.35-3.65, 2 Nd 3.69
Ho: 0.6441 0.9189 0.6441  6 Ho 3.35-3.65, 2 Nd 3.69
Ho: 0.7564 0.2436 0.5000  6 Ho 3.35-3.54, 4 Nd 3.47-3.58
Ho: 0.7564 0.5000 0.2436  6 Ho 3.35-3.54, 4 Nd 3.47-3.58
Ho: 0.9189 0.6441 0.6441  6 Ho 3.35-3.65, 2 Nd 3.69



Arrangement 2

A plane-wave DFT calculation with GGA-PBE was carried out for an optimized crystal structure of PrNd6Ho12.

Summary:
Crystal system: trigonal
Volume in Å³/atom: 32.9
Size of the total moment in μB per cell: 0.0

Unit cell a=8.6780 b=8.6780 c=8.6780 alpha=79.67 beta=79.67 gamma=79.67
Closest atoms and distances in Å follow each position.
Positions (direct):
Pr: 0.0000 0.0000 0.0000  6 Nd 3.08
Nd: 0.1648 0.7690 0.7690  1 Pr 3.08, 3 Ho 3.33-3.38
Nd: 0.2310 0.2310 0.8352  1 Pr 3.08, 3 Ho 3.33-3.38
Nd: 0.2310 0.8352 0.2310  1 Pr 3.08, 3 Ho 3.33-3.38
Nd: 0.7690 0.1648 0.7690  1 Pr 3.08, 3 Ho 3.33-3.38
Nd: 0.7690 0.7690 0.1648  1 Pr 3.08, 3 Ho 3.33-3.38
Nd: 0.8352 0.2310 0.2310  1 Pr 3.08, 3 Ho 3.33-3.38
Ho: 0.1378 0.1378 0.4814  7 Ho 3.47-3.82, 5 Nd 3.57-3.69
Ho: 0.1378 0.4814 0.1378  7 Ho 3.47-3.82, 5 Nd 3.57-3.69
Ho: 0.1966 0.5152 0.5152  3 Nd 3.33-3.38, 5 Ho 3.47-3.54
Ho: 0.4814 0.1378 0.1378  7 Ho 3.47-3.82, 5 Nd 3.57-3.69
Ho: 0.4848 0.4848 0.8034  3 Nd 3.33-3.38, 5 Ho 3.47-3.54
Ho: 0.4848 0.8034 0.4848  3 Nd 3.33-3.38, 5 Ho 3.47-3.54
Ho: 0.5152 0.1966 0.5152  3 Nd 3.33-3.38, 5 Ho 3.47-3.54
Ho: 0.5152 0.5152 0.1966  3 Nd 3.33-3.38, 5 Ho 3.47-3.54
Ho: 0.5186 0.8622 0.8622  7 Ho 3.47-3.82, 5 Nd 3.57-3.69
Ho: 0.8034 0.4848 0.4848  3 Nd 3.33-3.38, 5 Ho 3.47-3.54
Ho: 0.8622 0.5186 0.8622  7 Ho 3.47-3.82, 5 Nd 3.57-3.69
Ho: 0.8622 0.8622 0.5186  7 Ho 3.47-3.82, 5 Nd 3.57-3.69



Most stable structure: arrangement 2



Arrangement 1

A plane-wave DFT calculation with GGA-PBE was carried out for an optimized crystal structure of PrNdHo6.

Summary:
Crystal system: triclinic
Volume in Å³/atom: 33.1
Size of the total moment in μB per cell: 0.0

Unit cell a=6.4640 b=6.4676 c=6.4694 alpha=96.59 beta=96.66 gamma=96.56
Closest atoms and distances in Å follow each position.
Positions (direct):
Pr: 0.0000 0.0000 0.0000  12 Ho 3.51-3.77
Nd: 0.5000 0.5000 0.5000  12 Ho 3.51-3.77
Ho: 0.0455 0.4544 0.7497  4 Ho 3.34-3.36, 1 Nd 3.51, 1 Pr 3.51
Ho: 0.2504 0.9547 0.5456  4 Ho 3.34-3.35, 1 Nd 3.51, 1 Pr 3.52
Ho: 0.4549 0.7495 0.0450  4 Ho 3.34-3.36, 1 Nd 3.51, 1 Pr 3.51
Ho: 0.5451 0.2505 0.9550  4 Ho 3.34-3.36, 1 Nd 3.51, 1 Pr 3.51
Ho: 0.7496 0.0453 0.4544  4 Ho 3.34-3.35, 1 Nd 3.51, 1 Pr 3.52
Ho: 0.9545 0.5456 0.2503  4 Ho 3.34-3.36, 1 Nd 3.51, 1 Pr 3.51



Arrangement 2

A plane-wave DFT calculation with GGA-PBE was carried out for an optimized crystal structure of PrNdHo6.

Summary:
Crystal system: monoclinic
Volume in Å³/atom: 35.5
Size of the total moment in μB per cell: 0.0

Unit cell a=10.1902 b=6.7483 c=8.5349 alpha=90.00 beta=104.84 gamma=90.00
Closest atoms and distances in Å follow each position.
Positions (direct):
Pr: 0.0000 0.0000 0.0000  8 Ho 3.45-3.51
Pr: 0.5000 0.5000 0.0000  8 Ho 3.45-3.51
Nd: 0.0000 0.0000 0.5000  6 Ho 3.32-3.71
Nd: 0.5000 0.5000 0.5000  6 Ho 3.32-3.71
Ho: 0.1249 0.5000 0.4233  5 Ho 3.15-3.50
Ho: 0.1983 0.2597 0.7990  5 Ho 3.24-3.50, 1 Nd 3.32, 2 Pr 3.45-3.51
Ho: 0.1983 0.7403 0.7990  5 Ho 3.24-3.50, 1 Nd 3.32, 2 Pr 3.45-3.51
Ho: 0.3017 0.2403 0.2010  5 Ho 3.24-3.50, 1 Nd 3.32, 2 Pr 3.45-3.51
Ho: 0.3017 0.7597 0.2010  5 Ho 3.24-3.50, 1 Nd 3.32, 2 Pr 3.45-3.51
Ho: 0.3751 0.0000 0.5767  5 Ho 3.15-3.50
Ho: 0.6249 0.0000 0.4233  5 Ho 3.15-3.50
Ho: 0.6983 0.2403 0.7990  5 Ho 3.24-3.50, 1 Nd 3.32, 2 Pr 3.45-3.51
Ho: 0.6983 0.7597 0.7990  5 Ho 3.24-3.50, 1 Nd 3.32, 2 Pr 3.45-3.51
Ho: 0.8017 0.2597 0.2010  5 Ho 3.24-3.50, 1 Nd 3.32, 2 Pr 3.45-3.51
Ho: 0.8017 0.7403 0.2010  5 Ho 3.24-3.50, 1 Nd 3.32, 2 Pr 3.45-3.51
Ho: 0.8751 0.5000 0.5767  5 Ho 3.15-3.50



Most stable structure: arrangement 1



Arrangement 1

A plane-wave DFT calculation with GGA-PBE was carried out for an optimized crystal structure of Pr3Nd3Ho2.

Summary:
Crystal system: monoclinic
Volume in Å³/atom: 34.9
Size of the total moment in μB per cell: 0.0

Unit cell a=5.9047 b=14.7989 c=6.3821 alpha=90.00 beta=90.08 gamma=90.00
Closest atoms and distances in Å follow each position.
Positions (direct):
Pr: 0.2500 0.0001 0.1685  5 Nd 3.63-3.70, 3 Pr 3.65-3.70, 4 Ho 3.65-3.72
Pr: 0.2502 0.2500 0.1737  4 Ho 3.62-3.63, 6 Nd 3.64-3.73, 2 Pr 3.70
Pr: 0.2500 0.4999 0.1685  5 Nd 3.63-3.70, 3 Pr 3.65-3.70, 4 Ho 3.65-3.72
Pr: 0.7500 0.9999 0.8315  5 Nd 3.63-3.70, 3 Pr 3.65-3.70, 4 Ho 3.65-3.72
Pr: 0.7500 0.5001 0.8315  5 Nd 3.63-3.70, 3 Pr 3.65-3.70, 4 Ho 3.65-3.72
Pr: 0.7498 0.7500 0.8263  4 Ho 3.62-3.63, 6 Nd 3.64-3.73, 2 Pr 3.70
Nd: 0.2502 0.1243 0.6677  6 Pr 3.63-3.73, 3 Ho 3.63-3.71, 3 Nd 3.65-3.72
Nd: 0.2502 0.3757 0.6677  6 Pr 3.63-3.73, 3 Ho 3.63-3.71, 3 Nd 3.65-3.72
Nd: 0.2499 0.7500 0.1616  4 Pr 3.64-3.70, 4 Nd 3.65-3.66, 4 Ho 3.66-3.69
Nd: 0.7501 0.2500 0.8384  4 Pr 3.64-3.70, 4 Nd 3.65-3.66, 4 Ho 3.66-3.69
Nd: 0.7498 0.6243 0.3323  6 Pr 3.63-3.73, 3 Ho 3.63-3.71, 3 Nd 3.65-3.72
Nd: 0.7498 0.8757 0.3323  6 Pr 3.63-3.73, 3 Ho 3.63-3.71, 3 Nd 3.65-3.72
Ho: 0.2499 0.6262 0.6644  6 Pr 3.62-3.72, 5 Nd 3.63-3.71, 1 Ho 3.66
Ho: 0.2499 0.8738 0.6644  6 Pr 3.62-3.72, 5 Nd 3.63-3.71, 1 Ho 3.66
Ho: 0.7501 0.1262 0.3356  6 Pr 3.62-3.72, 5 Nd 3.63-3.71, 1 Ho 3.66
Ho: 0.7501 0.3738 0.3356  6 Pr 3.62-3.72, 5 Nd 3.63-3.71, 1 Ho 3.66



Arrangement 2

A plane-wave DFT calculation with GGA-PBE was carried out for an optimized crystal structure of Pr3Nd3Ho2.

Summary:
Crystal system: monoclinic
Volume in Å³/atom: 34.8
Size of the total moment in μB per cell: 0.0

Unit cell a=16.7634 b=5.8528 c=6.0911 alpha=90.00 beta=111.26 gamma=90.00
Closest atoms and distances in Å follow each position.
Positions (direct):
Pr: 0.0000 0.0000 0.0000  2 Pr 3.43, 4 Nd 3.62
Pr: 0.1351 0.0000 0.6906  1 Pr 3.43, 4 Ho 3.47-3.60, 5 Nd 3.60-3.77
Pr: 0.3649 0.5000 0.3094  1 Pr 3.43, 4 Ho 3.47-3.60, 5 Nd 3.60-3.77
Pr: 0.5000 0.5000 0.0000  2 Pr 3.43, 4 Nd 3.62
Pr: 0.6351 0.5000 0.6906  1 Pr 3.43, 4 Ho 3.47-3.60, 5 Nd 3.60-3.77
Pr: 0.8649 0.0000 0.3094  1 Pr 3.43, 4 Ho 3.47-3.60, 5 Nd 3.60-3.77
Nd: 0.0000 0.5000 0.5000  2 Nd 3.44, 4 Pr 3.62
Nd: 0.1347 0.5000 0.0805  1 Nd 3.44, 4 Ho 3.47-3.61, 5 Pr 3.60-3.77
Nd: 0.3653 0.0000 0.9195  1 Nd 3.44, 4 Ho 3.47-3.61, 5 Pr 3.60-3.77
Nd: 0.5000 0.0000 0.5000  2 Nd 3.44, 4 Pr 3.62
Nd: 0.6347 0.0000 0.0805  1 Nd 3.44, 4 Ho 3.47-3.61, 5 Pr 3.60-3.77
Nd: 0.8653 0.5000 0.9195  1 Nd 3.44, 4 Ho 3.47-3.61, 5 Pr 3.60-3.77
Ho: 0.2502 0.0000 0.3182  4 Nd 3.47-3.61, 4 Pr 3.47-3.60, 2 Ho 3.67
Ho: 0.2498 0.5000 0.6818  4 Nd 3.47-3.61, 4 Pr 3.47-3.60, 2 Ho 3.67
Ho: 0.7498 0.0000 0.6818  4 Nd 3.47-3.61, 4 Pr 3.47-3.60, 2 Ho 3.67
Ho: 0.7502 0.5000 0.3182  4 Nd 3.47-3.61, 4 Pr 3.47-3.60, 2 Ho 3.67



Most stable structure: arrangement 1



Arrangement 1

A plane-wave DFT calculation with GGA-PBE was carried out for an optimized crystal structure of PrNd2Ho7.

Summary:
Crystal system: orthorhombic
Volume in Å³/atom: 33.2
Size of the total moment in μB per cell: 0.0

Unit cell a=14.8373 b=14.8373 c=3.5148 alpha=90.00 beta=90.00 gamma=154.59
Closest atoms and distances in Å follow each position.
Positions (direct):
Pr: 0.0000 0.0000 0.0000  2 Pr 3.51, 12 Ho 3.71-3.73
Nd: 0.2925 0.7075 0.5000  2 Nd 3.51, 8 Ho 3.54-3.76
Nd: 0.7075 0.2925 0.5000  2 Nd 3.51, 8 Ho 3.54-3.76
Ho: 0.1483 0.3466 0.5000  7 Ho 3.23-3.51, 1 Nd 3.54
Ho: 0.1854 0.8146 0.0000  6 Ho 3.45-3.51, 6 Nd 3.56-3.76
Ho: 0.3466 0.1483 0.5000  7 Ho 3.23-3.51, 1 Nd 3.54
Ho: 0.5000 0.5000 0.5000  6 Ho 3.31-3.51, 4 Pr 3.71
Ho: 0.6534 0.8517 0.5000  7 Ho 3.23-3.51, 1 Nd 3.54
Ho: 0.8146 0.1854 0.0000  6 Ho 3.45-3.51, 6 Nd 3.56-3.76
Ho: 0.8517 0.6534 0.5000  7 Ho 3.23-3.51, 1 Nd 3.54



Arrangement 2

A plane-wave DFT calculation with GGA-PBE was carried out for an optimized crystal structure of PrNd2Ho7.

Summary:
Crystal system: triclinic
Volume in Å³/atom: 32.2
Size of the total moment in μB per cell: 0.0

Unit cell a=6.1786 b=6.1854 c=9.4533 alpha=102.62 beta=108.97 gamma=99.59
Closest atoms and distances in Å follow each position.
Positions (direct):
Pr: 0.0000 0.0000 0.0000  10 Ho 3.56-3.58, 2 Nd 3.57
Nd: 0.3987 0.1999 0.3991  9 Ho 3.56-3.59, 1 Pr 3.57, 2 Nd 3.58-3.59
Nd: 0.6013 0.8001 0.6009  9 Ho 3.56-3.59, 1 Pr 3.57, 2 Nd 3.58-3.59
Ho: 0.0000 0.5000 0.5000  4 Nd 3.56-3.58, 8 Ho 3.57-3.58
Ho: 0.1997 0.5996 0.1993  7 Ho 3.56-3.57, 2 Pr 3.57, 3 Nd 3.57-3.59
Ho: 0.2010 0.1014 0.7003  8 Ho 3.56-3.59, 3 Nd 3.57, 1 Pr 3.57
Ho: 0.3986 0.6984 0.9003  9 Ho 3.56-3.59, 2 Pr 3.56-3.58, 1 Nd 3.58
Ho: 0.6014 0.3016 0.0997  9 Ho 3.56-3.59, 2 Pr 3.56-3.58, 1 Nd 3.58
Ho: 0.7990 0.8986 0.2997  8 Ho 3.56-3.59, 3 Nd 3.57, 1 Pr 3.57
Ho: 0.8003 0.4004 0.8007  7 Ho 3.56-3.57, 2 Pr 3.57, 3 Nd 3.57-3.59



Most stable structure: arrangement 2